RbTlI3 after structural relaxation. Source: Alexandria via LeMat-Bulk, functional PBE.

Density   4.558 g cm⁻³

Cell lengths 9.4025, 5.0970, 10.3811 Å; angles 90.00, 100.84, 90.00 degrees
Closest atoms and distances in Å follow each position.
Space group P2_1/m (No. 11)
Unique sites:
Rb 0.2451 0.2500 0.1503  7 I 3.75-3.83
Tl 0.1751 0.2500 0.6688  4 I 3.06-3.38
I 0.1663 0.7500 0.4001  1 Tl 3.15, 1 I 3.33
I 0.1675 0.7500 0.8806  2 Tl 3.38, 2 Rb 3.75
I 0.5004 0.2500 0.6669  1 Tl 3.06, 1 I 3.33

Rb5TlI8 after structural relaxation. Source: Alexandria via LeMat-Bulk, functional PBE.

Density   4.066 g cm⁻³

Cell lengths 11.2866, 11.2866, 10.5609 Å; angles 90.00, 90.00, 90.00 degrees
Closest atoms and distances in Å follow each position.
Space group I-4 (No. 82)
Unique sites:
Rb 0.0000 0.0000 0.0000  8 I 3.72-3.83
Rb 0.1286 0.2461 0.3723  8 I 3.75-4.09
Tl 0.0000 0.5000 0.7500  8 I 3.61-3.73
I 0.0661 0.3318 0.0322  1 Tl 3.61, 1 I 3.76, 4 Rb 3.78-3.94
I 0.0737 0.1796 0.7153  5 Rb 3.72-4.09, 1 Tl 3.73, 1 I 3.76

RbTl6I8 after structural relaxation. Source: Alexandria via LeMat-Bulk, functional PBE.

Density   5.790 g cm⁻³

Cell lengths 10.5245, 10.5245, 20.8709 Å; angles 90.00, 90.00, 120.00 degrees
Closest atoms and distances in Å follow each position.
Space group R-3 (No. 148, hexagonal axes)
Unique sites:
Rb 0.0000 0.0000 0.0000  6 I 3.59
Tl 0.0159 0.6249 0.9249  7 I 3.40-3.80
I 0.0000 0.0000 0.3284  6 Tl 3.47-3.80
I 0.0126 0.7236 0.0960  5 Tl 3.40-3.72, 1 Rb 3.59

RbTl2I4 after structural relaxation. Source: Alexandria via LeMat-Bulk, functional PBE.

Density   4.961 g cm⁻³

Cell lengths 11.1149, 11.1149, 10.8577 Å; angles 90.00, 90.00, 90.00 degrees
Closest atoms and distances in Å follow each position.
Space group I4_1/amd (No. 141, origin choice 2)
Unique sites:
Rb 0.0000 0.2500 0.3750  4 I 3.62
Tl 0.0000 0.0000 0.0000  6 I 3.35-3.48
I 0.0000 0.0677 0.6997  3 Tl 3.35-3.48, 1 Rb 3.62

Respective M_tot values: 0.00 2.24 0.00 0.00 μB per formula unit.
Respective energy relative to the elements, uncorrected values: -0.793 -1.053 -0.659 -0.720 eV/atom.
Respective VASP energy values: -2.389 -2.453 -2.497 -2.421 eV per atom.